1.
CdP2OsO | GGA-PBE | optimized geometry

Computed properties:
Density in kg/m3: 6751
Spin magnetization in μB/atom: 0.40

a = 4.9130 Å, b = 4.9130 Å, c = 3.8781 Å
α = 90.00°, β = 90.00°, γ = 90.00°
Last column: magnetic moment on the atom in μB.
Fractional coordinates of all 5 atoms:
Os: 0.5000 0.5000 0.5000  2.02
Cd: 0.0000 0.0000 0.0000  0.00
P: 0.0000 0.5000 0.0000  -0.08
P: 0.5000 0.0000 0.0000  -0.08
O: 0.0000 0.0000 0.5000  0.08

***

2.
CdP2OsO | GGA-PBE | optimized geometry

Computed properties:
Density in kg/m3: 7237
Spin magnetization in μB/atom: 0.00

a = 4.8630 Å, b = 4.8630 Å, c = 3.6924 Å
α = 90.00°, β = 90.00°, γ = 90.00°
Fractional coordinates of all 5 atoms:
Cd: 0.5000 0.5000 0.5000
O: 0.0000 0.0000 0.5000
P: 0.5000 0.0000 0.0000
Os: 0.0000 0.0000 0.0000
P: 0.0000 0.5000 0.0000

***

Computed relative energies in units of meV/atom: 1 1523; 2 0